This record from Alexandria via LeMat-Bulk describes an optimized crystal structure of Pm3Au2. The functional is PBE.

```
Pm3Au2
1.0
3.683 0.000 0.000
0.000 3.683 0.000
-1.841 -1.841 10.052
Pm Au
3 2
direct
0.183 0.183 0.366 Pm
0.000 0.000 0.000 Pm
0.817 0.817 0.634 Pm
0.408 0.408 0.817 Au
0.592 0.592 0.183 Au
```

Summary:
Its energy above the most stable polymorph in this dataset is 30.2 meV/atom. As for the calculated total energy: -4.78 eV per atom. As for the magnetization: 0.0 μB per formula unit. The formation energy is -0.619 eV per atom. Its symmetry is I4/mmm, No. 139.

---

This record from Alexandria via LeMat-Bulk describes an optimized crystal structure of AcDyCoAg. The functional is PBE.

```
AcDyCoAg
1.0
5.189 0.000 0.000
2.595 4.494 0.000
2.595 1.498 4.237
Ag Ac Co Dy
1 1 1 1
direct
0.000 0.000 0.000 Ag
0.250 0.250 0.250 Ac
0.500 0.500 0.500 Co
0.750 0.750 0.750 Dy
```

Summary:
As for the calculated total energy: -4.68 eV per atom. As for the magnetization: 0.7 μB per formula unit. The formation energy is -0.017 eV per atom. Its symmetry is F-43m, No. 216.

---

This record from Alexandria via LeMat-Bulk describes an optimized crystal structure of SnTe2S5. The functional is PBE.

```
SnTe2S5
1.0
5.716 -0.878 3.747
-1.496 5.927 3.671
0.629 -1.011 8.814
S Sn Te
5 1 2
direct
0.618 0.083 0.307 S
0.955 0.127 0.747 S
0.330 0.273 0.941 S
0.330 0.787 0.941 S
0.618 0.609 0.307 S
0.975 0.976 0.047 Sn
0.907 0.389 0.222 Te
0.489 0.979 0.041 Te
```

Summary:
The value obtained for the formation energy without anion corrections is 0.2 eV per formula unit. As for the calculated total energy: -3.84 eV per atom. As for the magnetization: 0.0 μB per formula unit. Its symmetry is Cm, No. 8.

---

This record from Alexandria via LeMat-Bulk describes an optimized crystal structure of H3PbS. The functional is PBE.

```
H3PbS
1.0
-2.560 -0.735 3.051
0.881 -3.947 -0.211
3.012 0.531 2.655
H S Pb
3 1 1
direct
0.000 0.500 0.000 H
0.500 0.000 0.000 H
0.000 0.000 0.500 H
0.500 0.500 0.500 S
0.000 0.000 0.000 Pb
```

Summary:
Its energy above the most stable polymorph in this dataset is 175.9 meV/atom. As for the calculated total energy: -2.75 eV per atom. As for the magnetization: 1.3 μB per formula unit. Its symmetry is Pm-3m, No. 221.

---

This record from Alexandria via LeMat-Bulk describes an optimized crystal structure of Pm2SnSb. The functional is PBE.

```
Pm2SnSb
1.0
-2.029 2.633 2.911
-3.492 -2.966 0.249
7.351 -4.347 9.057
Sb Pm Sn
2 4 2
direct
0.750 0.812 0.623 Sb
0.250 0.188 0.377 Sb
0.250 0.316 0.632 Pm
0.750 0.937 0.873 Pm
0.750 0.684 0.368 Pm
0.250 0.063 0.127 Pm
0.750 0.545 0.089 Sn
0.250 0.455 0.911 Sn
```

Summary:
The value obtained for the formation energy without anion corrections is -3.9 eV per formula unit. Its energy above the most stable polymorph in this dataset is 0.0 meV/atom. As for the calculated total energy: -5.39 eV per atom. As for the magnetization: 0.0 μB per formula unit. Its symmetry is Cmcm, No. 63.

---

This record from Alexandria via LeMat-Bulk describes an optimized crystal structure of LiMg14Cu. The functional is PBE.

```
LiMg14Cu
1.0
-5.252 0.881 -3.233
0.063 -3.939 4.827
-2.587 7.668 6.292
Mg Cu Li
14 1 1
direct
0.499 0.501 0.500 Mg
0.003 0.501 0.500 Mg
0.502 0.498 0.000 Mg
0.667 0.333 0.746 Mg
0.163 0.326 0.243 Mg
0.499 0.997 0.500 Mg
0.163 0.837 0.243 Mg
0.163 0.326 0.757 Mg
0.674 0.837 0.243 Mg
0.674 0.837 0.757 Mg
0.163 0.837 0.757 Mg
0.997 0.498 0.000 Mg
0.667 0.333 0.254 Mg
0.502 0.003 0.000 Mg
0.000 0.000 0.000 Cu
0.000 0.000 0.500 Li
```

Summary:
As for the calculated total energy: -1.78 eV per atom. As for the magnetization: 0.0 μB per formula unit. The formation energy is -0.007 eV per atom. Its symmetry is P-6m2, No. 187.

---

This record from Alexandria via LeMat-Bulk describes an optimized crystal structure of Y2ReAu. The functional is PBE.

```
Y2ReAu
1.0
-3.795 -1.752 -1.640
-1.288 -1.102 4.158
-6.840 7.030 2.170
Y Re Au
4 2 2
direct
0.135 0.625 0.250 Y
0.375 0.385 0.750 Y
0.875 0.865 0.750 Y
0.615 0.125 0.250 Y
0.500 0.500 0.000 Re
0.250 0.750 0.500 Re
0.000 0.000 0.000 Au
0.750 0.250 0.500 Au
```

Summary:
Its energy above the most stable polymorph in this dataset is 954.9 meV/atom. As for the calculated total energy: -6.49 eV per atom. As for the magnetization: 0.3 μB per formula unit. The formation energy is 0.678 eV per atom. Its symmetry is I-42d, No. 122.

---

This record from Alexandria via LeMat-Bulk describes an optimized crystal structure of Al2TeBr. The functional is PBE.

```
Al2TeBr
1.0
-2.016 4.235 -4.393
-1.301 -1.488 -6.115
-1.187 -1.151 6.210
Te Al Br
1 2 1
direct
0.201 0.701 0.500 Te
0.808 0.308 0.500 Al
0.009 0.009 0.000 Al
0.481 0.481 0.000 Br
```

Summary:
The value obtained for the formation energy without anion corrections is -0.2 eV per formula unit. Its energy above the most stable polymorph in this dataset is 284.6 meV/atom. As for the calculated total energy: -3.12 eV per atom. As for the magnetization: 0.0 μB per formula unit. Its symmetry is Imm2, No. 44.

---

This record from Alexandria via LeMat-Bulk describes an optimized crystal structure of NbB. The functional is PBE.

```
NbB
1.0
3.036 0.000 0.000
0.000 5.859 0.000
0.000 0.000 5.985
Nb B
4 4
direct
0.500 0.500 0.000 Nb
0.000 0.000 0.500 Nb
0.000 0.500 0.500 Nb
0.500 0.000 0.000 Nb
0.000 0.750 0.185 B
0.500 0.750 0.315 B
0.000 0.250 0.815 B
0.500 0.250 0.685 B
```

Summary:
As for the calculated total energy: -8.69 eV per atom. As for the magnetization: 0.0 μB per formula unit. The formation energy is -0.315 eV per atom. Its symmetry is Imma, No. 74.

---

This record from Alexandria via LeMat-Bulk describes an optimized crystal structure of Li2TlAg8. The functional is PBE.

```
Li2TlAg8
1.0
-2.826 -2.967 0.053
3.528 -3.274 4.760
-3.359 6.091 3.499
Ag Li Tl
8 2 1
direct
0.148 0.205 0.296 Ag
0.684 0.910 0.368 Ag
0.599 0.464 0.198 Ag
0.316 0.090 0.632 Ag
0.952 0.283 0.905 Ag
0.401 0.536 0.802 Ag
0.852 0.795 0.704 Ag
0.048 0.717 0.095 Ag
0.224 0.646 0.448 Li
0.776 0.354 0.552 Li
0.500 0.000 0.000 Tl
```

Summary:
Its energy above the most stable polymorph in this dataset is 0.0 meV/atom. As for the calculated total energy: -2.68 eV per atom. As for the magnetization: 0.0 μB per formula unit. The formation energy is -0.043 eV per atom. Its symmetry is C2/m, No. 12.

---

This record from Alexandria via LeMat-Bulk describes an optimized crystal structure of Rb3CaTl3Cl8. The functional is PBE.

```
Rb3CaTl3Cl8
1.0
9.195 0.000 0.000
-4.597 7.964 -0.028
0.000 -5.283 7.652
Tl Cl Ca Rb
3 8 1 3
direct
0.000 0.500 0.500 Tl
0.500 0.500 0.500 Tl
0.500 0.000 0.500 Tl
0.216 0.003 0.290 Cl
0.787 0.003 0.290 Cl
0.213 0.997 0.710 Cl
0.787 0.574 0.290 Cl
0.213 0.426 0.710 Cl
0.784 0.997 0.710 Cl
0.749 0.498 0.746 Cl
0.251 0.502 0.254 Cl
0.000 0.000 0.500 Ca
0.000 0.000 0.000 Rb
0.000 0.500 0.000 Rb
0.500 0.500 0.000 Rb
```

Summary:
The value obtained for the formation energy without anion corrections is -25.2 eV per formula unit. As for the calculated total energy: -3.46 eV per atom. As for the magnetization: 0.0 μB per formula unit. Its symmetry is R-3m, No. 166.

---

This record from Alexandria via LeMat-Bulk describes an optimized crystal structure of LaAg2Au. The functional is PBE.

```
LaAg2Au
1.0
-0.989 3.031 -3.626
-2.011 -1.667 -4.061
-5.226 1.209 -0.784
Ag Au La
2 1 1
direct
0.747 0.747 0.758 Ag
0.027 0.027 0.918 Ag
0.475 0.475 0.574 Au
0.250 0.250 0.250 La
```

Summary:
Its energy above the most stable polymorph in this dataset is 19.6 meV/atom. As for the calculated total energy: -3.88 eV per atom. As for the magnetization: 0.0 μB per formula unit. The formation energy is -0.402 eV per atom. Its symmetry is R3m, No. 160.

---

This record from Alexandria via LeMat-Bulk describes an optimized crystal structure of PrSm3Se4. The functional is PBE.

```
PrSm3Se4
1.0
4.148 0.000 0.000
0.000 7.299 -0.033
0.000 -2.332 6.916
Pr Se Sm
1 4 3
direct
0.500 0.000 0.000 Pr
0.500 0.253 0.747 Se
0.000 0.255 0.255 Se
0.500 0.747 0.253 Se
0.000 0.745 0.745 Se
0.000 0.000 0.500 Sm
0.500 0.500 0.500 Sm
0.000 0.500 0.000 Sm
```

Summary:
The value obtained for the formation energy without anion corrections is -14.6 eV per formula unit. Its energy above the most stable polymorph in this dataset is 0.0 meV/atom. As for the calculated total energy: -5.93 eV per atom. As for the magnetization: 0.0 μB per formula unit. Its symmetry is Cmmm, No. 65.

---

This record from Alexandria via LeMat-Bulk describes an optimized crystal structure of PrZnInGa. The functional is PBE.

```
PrZnInGa
1.0
5.053 0.000 0.000
2.526 4.376 0.000
2.526 1.459 4.126
Pr Ga Zn In
1 1 1 1
direct
0.500 0.500 0.500 Pr
0.750 0.750 0.750 Ga
0.250 0.250 0.250 Zn
0.000 0.000 0.000 In
```

Summary:
As for the calculated total energy: -3.23 eV per atom. As for the magnetization: 0.0 μB per formula unit. The formation energy is -0.271 eV per atom. Its symmetry is F-43m, No. 216.

---

This record from Alexandria via LeMat-Bulk describes an optimized crystal structure of VReP2Cl. The functional is PBE.

```
VReP2Cl
1.0
4.667 0.000 0.000
0.000 4.667 0.000
0.000 0.000 4.417
P Cl V Re
2 1 1 1
direct
0.000 0.500 0.000 P
0.500 0.000 0.000 P
0.000 0.000 0.500 Cl
0.000 0.000 0.000 V
0.500 0.500 0.500 Re
```

Summary:
The value obtained for the formation energy without anion corrections is 5.1 eV per formula unit. Its energy above the most stable polymorph in this dataset is 304.8 meV/atom. As for the calculated total energy: -5.82 eV per atom. As for the magnetization: 4.8 μB per formula unit. Its symmetry is P4/mmm, No. 123.

---

This record from Alexandria via LeMat-Bulk describes an optimized crystal structure of LiInCl3. The functional is PBE.

```
LiInCl3
1.0
-2.128 1.136 -4.113
3.803 -1.581 -2.404
-1.937 -4.353 -0.200
Cl Li In
3 1 1
direct
0.500 0.000 0.000 Cl
0.000 0.500 0.000 Cl
0.000 0.000 0.500 Cl
0.000 0.000 0.000 Li
0.500 0.500 0.500 In
```

Summary:
The value obtained for the formation energy without anion corrections is -4.6 eV per formula unit. As for the calculated total energy: -2.95 eV per atom. As for the magnetization: 0.0 μB per formula unit. Its symmetry is Pm-3m, No. 221.

---

This record from Alexandria via LeMat-Bulk describes an optimized crystal structure of Th4TlPb. The functional is PBE.

```
Th4TlPb
1.0
5.960 0.000 0.003
0.000 5.958 -0.159
-2.975 -2.689 10.574
Tl Pb Th
2 2 8
direct
0.000 0.500 0.500 Tl
0.500 0.000 0.500 Tl
0.250 0.250 0.000 Pb
0.750 0.750 0.000 Pb
0.827 0.327 0.155 Th
0.576 0.576 0.652 Th
0.673 0.173 0.845 Th
0.173 0.673 0.845 Th
0.924 0.924 0.348 Th
0.327 0.827 0.155 Th
0.076 0.076 0.652 Th
0.424 0.424 0.348 Th
```

Summary:
Its energy above the most stable polymorph in this dataset is 79.2 meV/atom. As for the calculated total energy: -6.03 eV per atom. As for the magnetization: 0.0 μB per formula unit. The formation energy is -0.071 eV per atom. Its symmetry is P2/m, No. 10.

---

This record from Alexandria via LeMat-Bulk describes an optimized crystal structure of CuPt2W. The functional is PBE.

```
CuPt2W
1.0
5.356 0.004 0.005
2.622 4.670 -0.005
-3.362 -3.406 2.404
W Pt Cu
1 2 1
direct
0.488 0.488 0.000 W
0.017 0.017 0.000 Pt
0.744 0.244 0.500 Pt
0.251 0.751 0.500 Cu
```

Summary:
Its energy above the most stable polymorph in this dataset is 283.4 meV/atom. As for the calculated total energy: -7.27 eV per atom. As for the magnetization: 0.0 μB per formula unit. The formation energy is 0.016 eV per atom. Its symmetry is Imm2, No. 44.

---

This record from Alexandria via LeMat-Bulk describes an optimized crystal structure of Na3BiRh. The functional is PBE.

```
Na3BiRh
1.0
5.283 0.000 0.000
0.000 5.283 0.000
0.000 0.000 5.283
Bi Na Rh
1 3 1
direct
0.500 0.500 0.500 Bi
0.000 0.000 0.500 Na
0.000 0.500 0.000 Na
0.500 0.000 0.000 Na
0.000 0.000 0.000 Rh
```

Summary:
Its energy above the most stable polymorph in this dataset is 0.0 meV/atom. As for the calculated total energy: -2.50 eV per atom. As for the magnetization: 0.9 μB per formula unit. The formation energy is 0.535 eV per atom. Its symmetry is Pm-3m, No. 221.

---

This record from Alexandria via LeMat-Bulk describes an optimized crystal structure of YEr4N5. The functional is PBE.

```
YEr4N5
1.0
3.405 0.000 -0.480
-0.068 3.404 -0.480
0.011 0.011 12.396
Er N Y
4 5 1
direct
0.800 0.800 0.600 Er
0.399 0.399 0.799 Er
0.601 0.601 0.201 Er
0.200 0.200 0.400 Er
0.101 0.101 0.202 N
0.700 0.700 0.400 N
0.500 0.500 0.000 N
0.899 0.899 0.798 N
0.300 0.300 0.600 N
0.000 0.000 0.000 Y
```

Summary:
The value obtained for the formation energy without anion corrections is -17.6 eV per formula unit. As for the calculated total energy: -8.40 eV per atom. As for the magnetization: 0.0 μB per formula unit. Its symmetry is I4/mmm, No. 139.